DFT (GGA-PBE) results for a geometry-optimized Sm6Y3HoSc2 structure.

Summary:
formation energy from the elements	41	kJ/mol of formula units
crystal system	monoclinic
M_tot	0.00	Bohr magnetons per cell

Unit cell a=6.1631 b=10.6703 c=11.6293 alpha=90.00 beta=100.14 gamma=90.00
With the nearest neighbours (Å) after each atom.
Space group C2/m (No. 12)
One atom of each set of equivalent atoms:
1 Sm 0.2452 0.0000 0.2433 [4 per cell]  2 Sc 3.46, 1 Ho 3.47, 6 Sm 3.54-3.59, 3 Y 3.58-3.59
2 Sm 0.2495 0.3319 0.2433 [8 per cell]  2 Sc 3.45-3.46, 1 Ho 3.47, 6 Sm 3.54-3.59, 3 Y 3.58-3.59
3 Y 0.0000 0.0000 0.5000 [2 per cell]  6 Y 3.56, 6 Sm 3.58-3.59
4 Y 0.0000 0.3332 0.5000 [4 per cell]  6 Y 3.56, 6 Sm 3.58-3.59
5 Ho 0.0000 0.5000 0.0000 [2 per cell]  6 Sm 3.47, 6 Sc 3.56
6 Sc 0.0000 0.1667 0.0000 [4 per cell]  6 Sm 3.45-3.46, 3 Ho 3.56, 3 Sc 3.56


DFT (GGA-PBE) results for a geometry-optimized Sm3Y2Ho6Sc structure.

Summary:
formation energy from the elements	34	kJ/mol of formula units
crystal system	monoclinic
M_tot	0.00	Bohr magnetons per cell

Unit cell a=6.1316 b=10.6138 c=11.7127 alpha=90.00 beta=100.02 gamma=90.00
With the nearest neighbours (Å) after each atom.
Space group C2/m (No. 12)
One atom of each set of equivalent atoms:
1 Sm 0.0000 0.0000 0.0000 [2 per cell]  6 Sm 3.54, 6 Ho 3.57-3.58
2 Sm 0.0000 0.3334 0.0000 [4 per cell]  6 Sm 3.54, 6 Ho 3.57-3.59
3 Y 0.0000 0.1665 0.5000 [4 per cell]  6 Ho 3.50, 3 Y 3.53-3.54, 3 Sc 3.54
4 Ho 0.2465 0.3349 0.7458 [8 per cell]  1 Sc 3.48, 2 Y 3.50, 6 Ho 3.50-3.56, 3 Sm 3.57-3.59
5 Ho 0.2488 0.5000 0.2539 [4 per cell]  1 Sc 3.49, 2 Y 3.50, 6 Ho 3.51-3.56, 3 Sm 3.57-3.58
6 Sc 0.0000 0.5000 0.5000 [2 per cell]  6 Ho 3.48-3.49, 6 Y 3.54


DFT (GGA-PBE) results for a geometry-optimized SmY2Ho2Sc structure.

Summary:
formation energy from the elements	157	kJ/mol of formula units
crystal system	orthorhombic
M_tot	0.00	Bohr magnetons per cell

Unit cell a=6.5025 b=17.4220 c=3.3410 alpha=90.00 beta=90.00 gamma=90.00
With the nearest neighbours (Å) after each atom.
Space group Pnnm (No. 58)
One atom of each set of equivalent atoms:
1 Sm 0.0000 0.0000 0.0000 [2 per cell]  2 Sm 3.34, 4 Ho 3.43, 4 Sc 3.66
2 Y 0.2459 0.3173 0.0000 [4 per cell]  4 Ho 3.31-3.43, 2 Y 3.34, 1 Sc 3.56
3 Ho 0.2463 0.1454 0.5000 [4 per cell]  1 Sc 3.02, 2 Y 3.31-3.32, 2 Ho 3.34
4 Sc 0.0000 0.5000 0.0000 [2 per cell]  2 Ho 3.02, 2 Sc 3.34